# PaTcNO | OQMD via LeMat-Bulk | PBE | optimized geometry
data_PaTcNO
_cell_length_a 3.777
_cell_length_b 3.777
_cell_length_c 7.566
_cell_angle_alpha 90.00
_cell_angle_beta 90.00
_cell_angle_gamma 90.00
_symmetry_space_group_name_H-M 'P 1'
_symmetry_Int_Tables_number 1
_symmetry_space_group_name_Hall 'P 1'
loop_
_atom_site_label
_atom_site_type_symbol
_atom_site_fract_x
_atom_site_fract_y
_atom_site_fract_z
_atom_site_occupancy
Pa1 Pa 0.250 0.250 0.185 1
Pa2 Pa 0.750 0.750 0.815 1
Tc1 Tc 0.250 0.750 0.500 1
Tc2 Tc 0.750 0.250 0.500 1
N1 N 0.250 0.250 0.643 1
N2 N 0.750 0.750 0.357 1
O1 O 0.250 0.750 0.000 1
O2 O 0.750 0.250 0.000 1
# Relative energy among the computed polymorphs ... 4.1 kJ/mol of atoms
# Magnetic moment ... 0.984 μB per formula unit
# Crystal system ... tetragonal
# Space group ... P4/nmm

# PaTlNO | OQMD via LeMat-Bulk | PBE | optimized geometry
data_PaTlNO
_cell_length_a 3.742
_cell_length_b 3.742
_cell_length_c 9.328
_cell_angle_alpha 90.00
_cell_angle_beta 90.00
_cell_angle_gamma 90.00
_symmetry_space_group_name_H-M 'P 1'
_symmetry_Int_Tables_number 1
_symmetry_space_group_name_Hall 'P 1'
loop_
_atom_site_label
_atom_site_type_symbol
_atom_site_fract_x
_atom_site_fract_y
_atom_site_fract_z
_atom_site_occupancy
Pa1 Pa 0.250 0.250 0.154 1
Pa2 Pa 0.750 0.750 0.846 1
Tl1 Tl 0.250 0.750 0.500 1
Tl2 Tl 0.750 0.250 0.500 1
N1 N 0.250 0.250 0.771 1
N2 N 0.750 0.750 0.229 1
O1 O 0.250 0.750 0.000 1
O2 O 0.750 0.250 0.000 1
# Relative energy among the computed polymorphs ... 48.2 kJ/mol of atoms
# Magnetic moment ... 0.435 μB per formula unit
# Crystal system ... tetragonal
# Space group ... P4/nmm

# PaTlNO | OQMD via LeMat-Bulk | PBE | optimized geometry
data_PaTlNO
_cell_length_a 3.813
_cell_length_b 6.721
_cell_length_c 7.004
_cell_angle_alpha 90.00
_cell_angle_beta 90.00
_cell_angle_gamma 90.00
_symmetry_space_group_name_H-M 'P 1'
_symmetry_Int_Tables_number 1
_symmetry_space_group_name_Hall 'P 1'
loop_
_atom_site_label
_atom_site_type_symbol
_atom_site_fract_x
_atom_site_fract_y
_atom_site_fract_z
_atom_site_occupancy
Pa1 Pa 0.000 0.177 0.000 1
Pa2 Pa 0.000 0.823 0.500 1
Tl1 Tl 0.500 0.312 0.456 1
Tl2 Tl 0.500 0.688 0.956 1
N1 N 0.500 0.337 0.033 1
N2 N 0.500 0.663 0.533 1
O1 O 0.000 0.060 0.712 1
O2 O 0.000 0.940 0.212 1
# Relative energy among the computed polymorphs ... 10.7 kJ/mol of atoms
# Magnetic moment ... 0.871 μB per formula unit
# Crystal system ... orthorhombic
# Space group ... Pmc2_1

# PaTlNO | OQMD via LeMat-Bulk | PBE | optimized geometry
data_PaTlNO
_cell_length_a 3.988
_cell_length_b 6.980
_cell_length_c 6.479
_cell_angle_alpha 90.00
_cell_angle_beta 90.00
_cell_angle_gamma 90.00
_symmetry_space_group_name_H-M 'P 1'
_symmetry_Int_Tables_number 1
_symmetry_space_group_name_Hall 'P 1'
loop_
_atom_site_label
_atom_site_type_symbol
_atom_site_fract_x
_atom_site_fract_y
_atom_site_fract_z
_atom_site_occupancy
Pa1 Pa 0.000 0.192 0.000 1
Pa2 Pa 0.000 0.808 0.500 1
Tl1 Tl 0.500 0.258 0.497 1
Tl2 Tl 0.500 0.742 0.997 1
N1 N 0.000 0.068 0.306 1
N2 N 0.000 0.932 0.806 1
O1 O 0.500 0.329 0.999 1
O2 O 0.500 0.671 0.499 1
# Relative energy among the computed polymorphs ... 11.0 kJ/mol of atoms
# Magnetic moment ... 0.990 μB per formula unit
# Crystal system ... orthorhombic
# Space group ... Pmc2_1

Q: Which value of magnetic moment does entry 4 give?
A: 0.990 μB per formula unit

Please write out number 1 again, unchanged.
# PaTcNO | OQMD via LeMat-Bulk | PBE | optimized geometry
data_PaTcNO
_cell_length_a 3.777
_cell_length_b 3.777
_cell_length_c 7.566
_cell_angle_alpha 90.00
_cell_angle_beta 90.00
_cell_angle_gamma 90.00
_symmetry_space_group_name_H-M 'P 1'
_symmetry_Int_Tables_number 1
_symmetry_space_group_name_Hall 'P 1'
loop_
_atom_site_label
_atom_site_type_symbol
_atom_site_fract_x
_atom_site_fract_y
_atom_site_fract_z
_atom_site_occupancy
Pa1 Pa 0.250 0.250 0.185 1
Pa2 Pa 0.750 0.750 0.815 1
Tc1 Tc 0.250 0.750 0.500 1
Tc2 Tc 0.750 0.250 0.500 1
N1 N 0.250 0.250 0.643 1
N2 N 0.750 0.750 0.357 1
O1 O 0.250 0.750 0.000 1
O2 O 0.750 0.250 0.000 1
# Relative energy among the computed polymorphs ... 4.1 kJ/mol of atoms
# Magnetic moment ... 0.984 μB per formula unit
# Crystal system ... tetragonal
# Space group ... P4/nmm